V2SiMo PBE-GGA relaxed; E = -8.229 eV/atom; formation energy without anion corrections = 37.98 kJ/mol of atoms
1.0
-3.431 3.431 2.530
3.431 -3.431 2.530
3.431 3.431 -2.530
V Si Mo
4 2 2
Cartesian
1.715 1.615 -0.632
1.816 -1.715 3.162
1.715 1.816 1.897
1.615 5.146 0.632
0.000 0.000 0.000
0.000 3.431 1.265
3.431 0.000 1.265
0.000 0.000 2.530